VASP calculation (PBE-GGA) on a relaxed ZrOsCCl2 crystal.

Geometry as CIF:
```
data_ZrOsCCl2
_chemical_formula_sum 'Zr1 Os1 C1 Cl2'
_space_group_name_H-M_alt 'P 4/m m m'
_space_group_IT_number 123
_space_group_name_Hall '-P 4 2'
_cell_length_a 4.941
_cell_length_b 4.941
_cell_length_c 3.830
_cell_angle_alpha 90.00
_cell_angle_beta 90.00
_cell_angle_gamma 90.00
loop_
_atom_site_label
_atom_site_fract_x
_atom_site_fract_y
_atom_site_fract_z
_atom_site_occupancy
Zr1 0.000 0.000 0.000 1
Os1 0.500 0.500 0.500 1
C1 0.500 0.500 0.000 1
Cl1 0.000 0.500 0.500 1
```

Volume ... 93.5 Å³ per cell
E ... -28.40 eV/f.u.